1.
# Ba2SnHPt GGA-PBE relaxed
# calculated total energy = -19.874 eV/cell
# DOS(E_F) = 2.79 states/eV/cell
# total magnetization = 0.0 μB per formula unit
# space-group type = P4/mmm (123)
data_Ba2SnHPt
_space_group_name_H-M_alt 'P 1'
_space_group_IT_number 1
_space_group_name_Hall 'P 1'
_cell_length_a 6.007
_cell_length_b 6.007
_cell_length_c 3.773
_cell_angle_alpha 90.00
_cell_angle_beta 90.00
_cell_angle_gamma 90.00
loop_
_atom_site_label
_atom_site_fract_x
_atom_site_fract_y
_atom_site_fract_z
_atom_site_occupancy
Ba1 0.000 0.500 0.000 1
Ba2 0.500 0.000 0.000 1
Sn1 0.000 0.000 0.500 1
H1 0.500 0.500 0.000 1
Pt1 0.500 0.500 0.500 1

***

2.
# Rb2TlCdBr6 GGA-PBE relaxed
# calculated total energy = -26.364 eV/cell
# uncorrected formation energy = -1.111 eV per atom
# DOS(E_F) = 2.16 states/eV/cell
# energy above the most stable polymorph in this dataset = 0.015 eV/atom
# total magnetization = 0.0 μB per formula unit
# space-group type = I4/mmm (139)
data_Rb2TlCdBr6
_space_group_name_H-M_alt 'P 1'
_space_group_IT_number 1
_space_group_name_Hall 'P 1'
_cell_length_a 8.078
_cell_length_b 8.078
_cell_length_c 8.078
_cell_angle_alpha 120.08
_cell_angle_beta 120.08
_cell_angle_gamma 89.86
loop_
_atom_site_label
_atom_site_fract_x
_atom_site_fract_y
_atom_site_fract_z
_atom_site_occupancy
Rb1 0.250 0.750 0.500 1
Rb2 0.750 0.250 0.500 1
Tl1 0.000 0.000 0.000 1
Cd1 0.500 0.500 0.000 1
Br1 0.257 0.257 0.000 1
Br2 0.257 0.257 0.514 1
Br3 0.257 0.743 0.000 1
Br4 0.743 0.257 0.000 1
Br5 0.743 0.743 0.000 1
Br6 0.743 0.743 0.486 1

***

3.
# NbSe3F GGA-PBE relaxed
# calculated total energy = -23.656 eV/cell
# uncorrected formation energy = -0.252 eV per atom
# DOS(E_F) = 7.22 states/eV/cell
# energy above the most stable polymorph in this dataset = 0.369 eV/atom
# total magnetization = 0.0 μB per formula unit
# space-group type = Pm-3m (221)
data_NbSe3F
_space_group_name_H-M_alt 'P 1'
_space_group_IT_number 1
_space_group_name_Hall 'P 1'
_cell_length_a 4.990
_cell_length_b 4.990
_cell_length_c 4.990
_cell_angle_alpha 90.00
_cell_angle_beta 90.00
_cell_angle_gamma 90.00
loop_
_atom_site_label
_atom_site_fract_x
_atom_site_fract_y
_atom_site_fract_z
_atom_site_occupancy
Nb1 0.000 0.000 0.000 1
Se1 0.000 0.000 0.500 1
Se2 0.000 0.500 0.000 1
Se3 0.500 0.000 0.000 1
F1 0.500 0.500 0.500 1

***

4.
# Tc2RuPt GGA-PBE relaxed
# calculated total energy = -36.322 eV/cell
# DOS(E_F) = 5.17 states/eV/cell
# formation energy from the elements = -6.6 kJ per mole of atoms
# energy above the most stable polymorph in this dataset = 0.084 eV/atom
# total magnetization = 0.0 μB per formula unit
# space-group type = I4/mmm (139)
data_Tc2RuPt
_space_group_name_H-M_alt 'P 1'
_space_group_IT_number 1
_space_group_name_Hall 'P 1'
_cell_length_a 4.777
_cell_length_b 4.777
_cell_length_c 4.777
_cell_angle_alpha 132.46
_cell_angle_beta 132.46
_cell_angle_gamma 69.50
loop_
_atom_site_label
_atom_site_fract_x
_atom_site_fract_y
_atom_site_fract_z
_atom_site_occupancy
Tc1 0.250 0.750 0.500 1
Tc2 0.750 0.250 0.500 1
Ru1 0.000 0.000 0.000 1
Pt1 0.500 0.500 0.000 1

***

5.
# TbPdRhAu GGA-PBE relaxed
# calculated total energy = -22.905 eV/cell
# DOS(E_F) = 1.12 states/eV/cell
# formation energy from the elements = -59.2 kJ per mole of atoms
# energy above the most stable polymorph in this dataset = 0.124 eV/atom
# total magnetization = 0.0 μB per formula unit
# space-group type = F-43m (216)
data_TbPdRhAu
_space_group_name_H-M_alt 'P 1'
_space_group_IT_number 1
_space_group_name_Hall 'P 1'
_cell_length_a 4.693
_cell_length_b 4.693
_cell_length_c 4.693
_cell_angle_alpha 60.00
_cell_angle_beta 60.00
_cell_angle_gamma 60.00
loop_
_atom_site_label
_atom_site_fract_x
_atom_site_fract_y
_atom_site_fract_z
_atom_site_occupancy
Tb1 0.000 0.000 0.000 1
Pd1 0.750 0.750 0.750 1
Rh1 0.250 0.250 0.250 1
Au1 0.500 0.500 0.500 1

***

6.
# KLiCo2 GGA-PBE relaxed
# calculated total energy = -13.586 eV/cell
# DOS(E_F) = 2.82 states/eV/cell
# formation energy from the elements = 87.7 kJ per mole of atoms
# energy above the most stable polymorph in this dataset = 0.432 eV/atom
# total magnetization = 3.1 μB per formula unit
# space-group type = Cmmm (65)
data_KLiCo2
_space_group_name_H-M_alt 'P 1'
_space_group_IT_number 1
_space_group_name_Hall 'P 1'
_cell_length_a 5.596
_cell_length_b 5.596
_cell_length_c 2.628
_cell_angle_alpha 90.00
_cell_angle_beta 90.00
_cell_angle_gamma 126.02
loop_
_atom_site_label
_atom_site_fract_x
_atom_site_fract_y
_atom_site_fract_z
_atom_site_occupancy
K1 0.000 0.000 0.000 1
Li1 0.500 0.500 0.000 1
Co1 0.000 0.500 0.500 1
Co2 0.500 0.000 0.500 1

***

7.
# Ni2TeAs GGA-PBE relaxed
# calculated total energy = -19.863 eV/cell
# uncorrected formation energy = -0.127 eV per atom
# DOS(E_F) = 1.90 states/eV/cell
# total magnetization = 0.0 μB per formula unit
# space-group type = Amm2 (38)
data_Ni2TeAs
_space_group_name_H-M_alt 'P 1'
_space_group_IT_number 1
_space_group_name_Hall 'P 1'
_cell_length_a 4.595
_cell_length_b 4.268
_cell_length_c 4.268
_cell_angle_alpha 61.47
_cell_angle_beta 90.00
_cell_angle_gamma 90.00
loop_
_atom_site_label
_atom_site_fract_x
_atom_site_fract_y
_atom_site_fract_z
_atom_site_occupancy
Ni1 0.000 0.000 0.000 1
Ni2 0.500 0.184 0.184 1
Te1 0.000 0.337 0.337 1
As1 0.500 0.858 0.858 1

***

8.
# InRu3Cl GGA-PBE relaxed
# calculated total energy = -27.831 eV/cell
# uncorrected formation energy = 0.916 eV per atom
# DOS(E_F) = 7.59 states/eV/cell
# energy above the most stable polymorph in this dataset = 0.000 eV/atom
# total magnetization = 0.0 μB per formula unit
# space-group type = Pm-3m (221)
data_InRu3Cl
_space_group_name_H-M_alt 'P 1'
_space_group_IT_number 1
_space_group_name_Hall 'P 1'
_cell_length_a 4.391
_cell_length_b 4.391
_cell_length_c 4.391
_cell_angle_alpha 90.00
_cell_angle_beta 90.00
_cell_angle_gamma 90.00
loop_
_atom_site_label
_atom_site_fract_x
_atom_site_fract_y
_atom_site_fract_z
_atom_site_occupancy
In1 0.000 0.000 0.000 1
Ru1 0.000 0.500 0.500 1
Ru2 0.500 0.000 0.500 1
Ru3 0.500 0.500 0.000 1
Cl1 0.500 0.500 0.500 1

***

9.
# CrInAs GGA-PBE relaxed
# calculated total energy = -33.423 eV/cell
# DOS(E_F) = 3.50 states/eV/cell
# formation energy from the elements = 9.6 kJ per mole of atoms
# energy above the most stable polymorph in this dataset = 0.083 eV/atom
# total magnetization = 0.0 μB per formula unit
# space-group type = C2/m (12)
data_CrInAs
_space_group_name_H-M_alt 'P 1'
_space_group_IT_number 1
_space_group_name_Hall 'P 1'
_cell_length_a 3.200
_cell_length_b 3.200
_cell_length_c 12.093
_cell_angle_alpha 91.53
_cell_angle_beta 91.53
_cell_angle_gamma 89.99
loop_
_atom_site_label
_atom_site_fract_x
_atom_site_fract_y
_atom_site_fract_z
_atom_site_occupancy
Cr1 0.001 0.001 0.080 1
Cr2 0.999 0.999 0.920 1
In1 0.280 0.280 0.609 1
In2 0.720 0.720 0.391 1
As1 0.492 0.492 0.837 1
As2 0.508 0.508 0.163 1

***

10.
# Ac2GaAg GGA-PBE relaxed
# calculated total energy = -13.575 eV/cell
# DOS(E_F) = 1.75 states/eV/cell
# formation energy from the elements = 12.6 kJ per mole of atoms
# total magnetization = 0.0 μB per formula unit
# space-group type = R-3m (166)
data_Ac2GaAg
_space_group_name_H-M_alt 'P 1'
_space_group_IT_number 1
_space_group_name_Hall 'P 1'
_cell_length_a 11.133
_cell_length_b 11.133
_cell_length_c 11.133
_cell_angle_alpha 20.18
_cell_angle_beta 20.18
_cell_angle_gamma 20.18
loop_
_atom_site_label
_atom_site_fract_x
_atom_site_fract_y
_atom_site_fract_z
_atom_site_occupancy
Ac1 0.096 0.096 0.096 1
Ac2 0.904 0.904 0.904 1
Ga1 0.500 0.500 0.500 1
Ag1 0.000 0.000 0.000 1

***

11.
# Rb3Pu2ThS6 GGA-PBE relaxed
# calculated total energy = -83.351 eV/cell
# uncorrected formation energy = -1.633 eV per atom
# DOS(E_F) = 25.13 states/eV/cell
# total magnetization = 11.0 μB per formula unit
# space-group type = C2/m (12)
data_Rb3Pu2ThS6
_space_group_name_H-M_alt 'P 1'
_space_group_IT_number 1
_space_group_name_Hall 'P 1'
_cell_length_a 7.259
_cell_length_b 7.259
_cell_length_c 8.052
_cell_angle_alpha 98.64
_cell_angle_beta 98.64
_cell_angle_gamma 120.00
loop_
_atom_site_label
_atom_site_fract_x
_atom_site_fract_y
_atom_site_fract_z
_atom_site_occupancy
Rb1 0.000 0.000 0.000 1
Rb2 0.332 0.668 0.000 1
Rb3 0.668 0.332 0.000 1
Pu1 0.167 0.833 0.500 1
Pu2 0.833 0.167 0.500 1
Th1 0.500 0.500 0.500 1
S1 0.105 0.436 0.307 1
S2 0.234 0.234 0.694 1
S3 0.436 0.105 0.307 1
S4 0.564 0.895 0.693 1
S5 0.766 0.766 0.306 1
S6 0.895 0.564 0.693 1

***

12.
# NdSm3Y6 GGA-PBE relaxed
# calculated total energy = -55.125 eV/cell
# DOS(E_F) = 21.10 states/eV/cell
# formation energy from the elements = 24.9 kJ per mole of atoms
# energy above the most stable polymorph in this dataset = 0.116 eV/atom
# total magnetization = 0.0 μB per formula unit
# space-group type = R3 (146)
data_NdSm3Y6
_space_group_name_H-M_alt 'P 1'
_space_group_IT_number 1
_space_group_name_Hall 'P 1'
_cell_length_a 6.951
_cell_length_b 6.951
_cell_length_c 6.951
_cell_angle_alpha 91.71
_cell_angle_beta 91.71
_cell_angle_gamma 91.71
loop_
_atom_site_label
_atom_site_fract_x
_atom_site_fract_y
_atom_site_fract_z
_atom_site_occupancy
Nd1 0.000 0.000 0.000 1
Sm1 0.252 0.252 0.252 1
Sm2 0.500 0.500 0.500 1
Sm3 0.749 0.749 0.749 1
Y1 0.173 0.826 0.499 1
Y2 0.327 0.672 0.999 1
Y3 0.499 0.173 0.826 1
Y4 0.672 0.999 0.327 1
Y5 0.826 0.499 0.173 1
Y6 0.999 0.327 0.672 1

***

13.
# LaAl3Cu3 GGA-PBE relaxed
# calculated total energy = -60.764 eV/cell
# DOS(E_F) = 6.80 states/eV/cell
# formation energy from the elements = -26.7 kJ per mole of atoms
# total magnetization = 0.0 μB per formula unit
# space-group type = R-3m (166)
data_LaAl3Cu3
_space_group_name_H-M_alt 'P 1'
_space_group_IT_number 1
_space_group_name_Hall 'P 1'
_cell_length_a 6.926
_cell_length_b 6.926
_cell_length_c 6.926
_cell_angle_alpha 61.66
_cell_angle_beta 61.66
_cell_angle_gamma 61.66
loop_
_atom_site_label
_atom_site_fract_x
_atom_site_fract_y
_atom_site_fract_z
_atom_site_occupancy
La1 0.130 0.130 0.130 1
La2 0.870 0.870 0.870 1
Al1 0.184 0.184 0.564 1
Al2 0.184 0.564 0.184 1
Al3 0.436 0.816 0.816 1
Al4 0.564 0.184 0.184 1
Al5 0.816 0.436 0.816 1
Al6 0.816 0.816 0.436 1
Cu1 0.193 0.559 0.559 1
Cu2 0.441 0.441 0.807 1
Cu3 0.441 0.807 0.441 1
Cu4 0.559 0.193 0.559 1
Cu5 0.559 0.559 0.193 1
Cu6 0.807 0.441 0.441 1

***

14.
# Tl2FeAu GGA-PBE relaxed
# calculated total energy = -14.535 eV/cell
# DOS(E_F) = 3.06 states/eV/cell
# formation energy from the elements = 46.7 kJ per mole of atoms
# energy above the most stable polymorph in this dataset = 0.201 eV/atom
# total magnetization = 3.1 μB per formula unit
# space-group type = R-3m (166)
data_Tl2FeAu
_space_group_name_H-M_alt 'P 1'
_space_group_IT_number 1
_space_group_name_Hall 'P 1'
_cell_length_a 9.129
_cell_length_b 9.129
_cell_length_c 9.129
_cell_angle_alpha 20.95
_cell_angle_beta 20.95
_cell_angle_gamma 20.95
loop_
_atom_site_label
_atom_site_fract_x
_atom_site_fract_y
_atom_site_fract_z
_atom_site_occupancy
Tl1 0.247 0.247 0.247 1
Tl2 0.753 0.753 0.753 1
Fe1 0.500 0.500 0.500 1
Au1 0.000 0.000 0.000 1